A plane-wave DFT calculation with PBE with a Hubbard U was carried out for a geometry-optimized Fe4O7F structure.

The density of states at the Fermi level is 5.38 states/eV/cell. The value obtained for the total energy is -6.133 eV/atom. As for the space group: No. 44.

abc: 5.5141 5.5141 5.5141
angles: 113.73 108.77 106.01
With the nearest neighbours (Å) after each atom.
Positions (direct):
Fe  0.0000  0.0000  0.0000  6 O 1.94-2.04
Fe  0.5015  0.2592  0.7577  5 O 1.94-1.97, 1 F 2.09
Fe  0.5015  0.7437  0.2423  5 O 1.94-1.97, 1 F 2.09
Fe  0.9725  0.4725  0.5000  5 O 1.96-1.97, 1 F 2.12
O  0.1863  0.2417  0.4415  3 Fe 1.94-1.97
O  0.1863  0.7448  0.9446  3 Fe 1.94-1.97
O  0.3068  0.3068  0.0000  3 Fe 1.95-2.04
O  0.6754  0.1754  0.5000  3 Fe 1.94-1.97
O  0.6962  0.6962  0.0000  3 Fe 1.95-2.02
O  0.8002  0.2417  0.0554  3 Fe 1.94-1.97
O  0.8002  0.7448  0.5585  3 Fe 1.94-1.97
F  0.2913  0.7913  0.5000  3 Fe 2.09-2.12